# 1
# ZrSi4Pb, relaxed, DFT PBE
data_ZrSi4Pb
_cell_length_a 5.2869
_cell_length_b 5.2869
_cell_length_c 5.2869
_cell_angle_alpha 60.00
_cell_angle_beta 60.00
_cell_angle_gamma 60.00
_space_group_name_H-M_alt 'P 1'
_space_group_IT_number 1
loop_
_space_group_symop_operation_xyz
'x,y,z'
loop_
_atom_site_label
_atom_site_type_symbol
_atom_site_fract_x
_atom_site_fract_y
_atom_site_fract_z
Zr1 Zr 0.7500 0.7500 0.7500
Si1 Si 0.8736 0.3755 0.3755
Si2 Si 0.3755 0.3755 0.8736
Si3 Si 0.3755 0.8736 0.3755
Si4 Si 0.3755 0.3755 0.3755
Pb1 Pb 0.0000 0.0000 0.0000
# Spin magnetization ... 0.0 μB/cell
# Raw formation energy ... 169 meV per atom
# V ... 104 Å³/cell
# Raw total energy ... -32.933 eV/cell
# SG ... No. 216
# Calculated density ... 6528 kg/m³

=====

# 2
# ZrSiPb2, relaxed, DFT PBE
data_ZrSiPb2
_cell_length_a 11.3629
_cell_length_b 11.3629
_cell_length_c 11.3629
_cell_angle_alpha 16.40
_cell_angle_beta 16.40
_cell_angle_gamma 16.40
_space_group_name_H-M_alt 'P 1'
_space_group_IT_number 1
loop_
_space_group_symop_operation_xyz
'x,y,z'
loop_
_atom_site_label
_atom_site_type_symbol
_atom_site_fract_x
_atom_site_fract_y
_atom_site_fract_z
Pb1 Pb 0.0020 0.0020 0.0020
Pb2 Pb 0.4980 0.4980 0.4980
Si1 Si 0.2500 0.2500 0.2500
Zr1 Zr 0.7500 0.7500 0.7500
# Spin magnetization ... 0.0 μB/cell
# Raw formation energy ... 414 meV per atom
# V ... 102 Å³/cell
# Raw total energy ... -19.731 eV/cell
# SG ... No. 166
# Calculated density ... 8696 kg/m³

=====

# 3
# ZrSi2Pb, relaxed, DFT PBE
data_ZrSi2Pb
_cell_length_a 6.3039
_cell_length_b 6.3039
_cell_length_c 7.5070
_cell_angle_alpha 65.17
_cell_angle_beta 65.17
_cell_angle_gamma 90.00
_space_group_name_H-M_alt 'P 1'
_space_group_IT_number 1
loop_
_space_group_symop_operation_xyz
'x,y,z'
loop_
_atom_site_label
_atom_site_type_symbol
_atom_site_fract_x
_atom_site_fract_y
_atom_site_fract_z
Pb1 Pb 0.0000 0.0000 0.0000
Pb2 Pb 0.7500 0.2500 0.5000
Si1 Si 0.6162 0.1250 0.2500
Si2 Si 0.1338 0.6250 0.2500
Si3 Si 0.3750 0.3838 0.7500
Si4 Si 0.8750 0.8662 0.7500
Zr1 Zr 0.5000 0.5000 0.0000
Zr2 Zr 0.2500 0.7500 0.5000
# Spin magnetization ... 0.0 μB/cell
# Raw formation energy ... 526 meV per atom
# V ... 240 Å³/cell
# Raw total energy ... -41.997 eV/cell
# SG ... No. 122
# Calculated density ... 4906 kg/m³

=====

# 4
# ZrSi2Pb2, relaxed, DFT PBE
data_ZrSi2Pb2
_cell_length_a 7.1373
_cell_length_b 7.1373
_cell_length_c 4.4862
_cell_angle_alpha 90.00
_cell_angle_beta 90.00
_cell_angle_gamma 90.00
_space_group_name_H-M_alt 'P 1'
_space_group_IT_number 1
loop_
_space_group_symop_operation_xyz
'x,y,z'
loop_
_atom_site_label
_atom_site_type_symbol
_atom_site_fract_x
_atom_site_fract_y
_atom_site_fract_z
Pb1 Pb 0.1830 0.6830 0.5000
Pb2 Pb 0.6830 0.8170 0.5000
Pb3 Pb 0.8170 0.3170 0.5000
Pb4 Pb 0.3170 0.1830 0.5000
Si1 Si 0.3792 0.8792 0.0000
Si2 Si 0.8792 0.6208 0.0000
Si3 Si 0.6208 0.1208 0.0000
Si4 Si 0.1208 0.3792 0.0000
Zr1 Zr 0.0000 0.0000 0.0000
Zr2 Zr 0.5000 0.5000 0.0000
# Spin magnetization ... 0.0 μB/cell
# Raw formation energy ... 128 meV per atom
# ΔE to the lowest computed polymorph ... 0.0 meV/atom
# V ... 229 Å³/cell
# Raw total energy ... -52.340 eV/cell
# SG ... No. 127
# Calculated density ... 8164 kg/m³

=====

# 5
# ZrSiPb, relaxed, DFT PBE
data_ZrSiPb
_cell_length_a 5.8720
_cell_length_b 5.8720
_cell_length_c 5.8720
_cell_angle_alpha 143.97
_cell_angle_beta 143.62
_cell_angle_gamma 52.13
_space_group_name_H-M_alt 'P 1'
_space_group_IT_number 1
loop_
_space_group_symop_operation_xyz
'x,y,z'
loop_
_atom_site_label
_atom_site_type_symbol
_atom_site_fract_x
_atom_site_fract_y
_atom_site_fract_z
Pb1 Pb 0.0078 0.0078 0.0000
Si1 Si 0.2802 0.2802 0.0000
Zr1 Zr 0.7121 0.7121 0.0000
# Spin magnetization ... 0.0 μB/cell
# Raw formation energy ... -150 meV per atom
# ΔE to the lowest computed polymorph ... 0.0 meV/atom
# V ... 70 Å³/cell
# Raw total energy ... -18.131 eV/cell
# SG ... No. 44
# Calculated density ... 7720 kg/m³

=====

# 6
# ZrSiPb2, relaxed, DFT PBE
data_ZrSiPb2
_cell_length_a 5.9828
_cell_length_b 5.9828
_cell_length_c 5.9828
_cell_angle_alpha 137.69
_cell_angle_beta 137.69
_cell_angle_gamma 61.37
_space_group_name_H-M_alt 'P 1'
_space_group_IT_number 1
loop_
_space_group_symop_operation_xyz
'x,y,z'
loop_
_atom_site_label
_atom_site_type_symbol
_atom_site_fract_x
_atom_site_fract_y
_atom_site_fract_z
Pb1 Pb 0.0000 0.0000 0.0000
Pb2 Pb 0.5000 0.5000 0.0000
Si1 Si 0.2500 0.7500 0.5000
Zr1 Zr 0.7500 0.2500 0.5000
# Spin magnetization ... 0.0 μB/cell
# Raw formation energy ... 166 meV per atom
# V ... 96 Å³/cell
# Raw total energy ... -20.722 eV/cell
# SG ... No. 139
# Calculated density ... 9239 kg/m³

=====

# 7
# ZrSi2Pb, relaxed, DFT PBE
data_ZrSi2Pb
_cell_length_a 3.6673
_cell_length_b 3.6673
_cell_length_c 6.1628
_cell_angle_alpha 90.00
_cell_angle_beta 90.00
_cell_angle_gamma 90.00
_space_group_name_H-M_alt 'P 1'
_space_group_IT_number 1
loop_
_space_group_symop_operation_xyz
'x,y,z'
loop_
_atom_site_label
_atom_site_type_symbol
_atom_site_fract_x
_atom_site_fract_y
_atom_site_fract_z
Pb1 Pb 0.5000 0.5000 0.7500
Si1 Si 0.0000 0.0000 0.0545
Si2 Si 0.0000 0.0000 0.4455
Zr1 Zr 0.5000 0.5000 0.2500
# Spin magnetization ... 0.0 μB/cell
# Raw formation energy ... -94 meV per atom
# V ... 83 Å³/cell
# Raw total energy ... -23.480 eV/cell
# SG ... No. 123
# Calculated density ... 7104 kg/m³

=====

# 8
# ZrSiPb2, relaxed, DFT PBE
data_ZrSiPb2
_cell_length_a 3.2560
_cell_length_b 3.2560
_cell_length_c 9.1319
_cell_angle_alpha 90.00
_cell_angle_beta 90.00
_cell_angle_gamma 90.00
_space_group_name_H-M_alt 'P 1'
_space_group_IT_number 1
loop_
_space_group_symop_operation_xyz
'x,y,z'
loop_
_atom_site_label
_atom_site_type_symbol
_atom_site_fract_x
_atom_site_fract_y
_atom_site_fract_z
Pb1 Pb 0.0000 0.0000 0.0039
Pb2 Pb 0.0000 0.0000 0.4961
Si1 Si 0.5000 0.5000 0.2500
Zr1 Zr 0.5000 0.5000 0.7500
# Spin magnetization ... 0.0 μB/cell
# Raw formation energy ... 352 meV per atom
# V ... 97 Å³/cell
# Raw total energy ... -19.980 eV/cell
# SG ... No. 123
# Calculated density ... 9154 kg/m³

=====

- Which of these has the lowest calculated density?
  number 3